[1]
DFT (PBE) results for a relaxed NiAgMo2 crystal.

Output
- Fermi-level density of states (states/eV per atom) = 0.55
- DFT formation energy (eV/atom) = 0.30

The structure in POSCAR format:
```
NiAgMo2
1.0
-2.2504 3.3005 1.7356
-0.5611 -1.4934 2.1123
4.2073 1.3971 2.7987
Mo Ag Ni
2 1 1
Direct
0.5000 0.2317 0.2735
0.0000 0.0283 0.0006
0.5000 0.6196 0.7513
0.0000 0.6204 0.4746
```


[2]
DFT (PBE) results for a relaxed La3InRu crystal.

Output
- Fermi-level density of states (states/eV per atom) = 0.36
- DFT formation energy (eV/atom) = -0.24

The structure in POSCAR format:
```
La3InRu
1.0
-10.4497 -20.3054 -12.9461
4.1010 -3.8030 2.6546
1.3969 6.6118 7.3141
In La Ru
4 12 4
Direct
0.8662 0.5357 0.7385
0.1338 0.4643 0.2615
0.3662 0.9643 0.2385
0.6338 0.0357 0.7615
0.7606 0.2470 0.7808
0.7394 0.7470 0.7192
0.4431 0.5466 0.1943
0.2606 0.2530 0.2808
0.6037 0.9432 0.1003
0.2394 0.7530 0.2192
0.9431 0.9534 0.6943
0.3963 0.0568 0.8997
0.0569 0.0466 0.3057
0.1037 0.5568 0.6003
0.5569 0.4534 0.8057
0.8963 0.4432 0.3997
0.9057 0.9092 0.3591
0.5943 0.4092 0.1409
0.0943 0.0908 0.6409
0.4057 0.5908 0.8591
```


Which value of DFT formation energy does entry 1 give? 0.30 eV/atom